DFT (PBE) results for a relaxed structure of Cu2I6Br.

Raw formation energy = -56 meV per atom

```
data_Cu2I6Br
_chemical_formula_sum 'Cu8 I24 Br4'
_symmetry_space_group_name_H-M 'C 1 2/c 1'
_symmetry_Int_Tables_number 15
_cell_length_a 14.428
_cell_length_b 15.293
_cell_length_c 7.473
_cell_angle_alpha 90.00
_cell_angle_beta 91.91
_cell_angle_gamma 90.00
loop_
_symmetry_equiv_pos_as_xyz
'x,y,z'
'-x,-y,-z'
'-x,y,-z+1/2'
'x,-y,z+1/2'
'x+1/2,y+1/2,z'
'-x+1/2,-y+1/2,-z'
'-x+1/2,y+1/2,-z+1/2'
'x+1/2,-y+1/2,z+1/2'
loop_
_atom_site_label
_atom_site_type_symbol
_atom_site_fract_x
_atom_site_fract_y
_atom_site_fract_z
Cu1 Cu 0.249 0.066 0.239
I1 I 0.081 0.401 0.643
I2 I 0.167 0.195 0.072
I3 I 0.218 0.079 0.576
Br1 Br 0.000 0.204 0.250
```

---

DFT (PBE) results for a relaxed structure of CrCuP3.

Energy of formation = 0.627 eV per atom
Offset from the most stable computed form = 0 meV/atom

```
data_CrCuP3
_chemical_formula_sum 'Cr1 Cu1 P3'
_symmetry_space_group_name_H-M 'P m -3 m'
_symmetry_Int_Tables_number 221
_symmetry_space_group_name_Hall '-P 4 2 3'
_cell_length_a 4.409
_cell_length_b 4.409
_cell_length_c 4.409
_cell_angle_alpha 90.00
_cell_angle_beta 90.00
_cell_angle_gamma 90.00
loop_
_atom_site_label
_atom_site_type_symbol
_atom_site_fract_x
_atom_site_fract_y
_atom_site_fract_z
Cr1 Cr 0.000 0.000 0.000
Cu1 Cu 0.500 0.500 0.500
P1 P 0.000 0.000 0.500
```

---

| no. | total moment (μB per formula unit) |
| --- | --- |
| 1 | 0.0 |
| 2 | 0.4 |